No. 1
Here is crystalline Ce3ScTc at its relaxed geometry from Alexandria via LeMat-Bulk. Energies are from PBE.

Lattice parameters (Å, degrees): 5.950 5.950 12.037 91.99 91.99 32.86
Fractional coordinates of all 10 atoms:
Ce: 0.146 0.146 0.046
Ce: 0.217 0.217 0.767
Ce: 0.349 0.349 0.454
Ce: 0.651 0.651 0.546
Ce: 0.783 0.783 0.233
Ce: 0.854 0.854 0.954
Sc: 0.054 0.054 0.310
Sc: 0.946 0.946 0.690
Tc: 0.460 0.460 0.131
Tc: 0.540 0.540 0.869

Density of states at the Fermi level (states/eV/atom): 1.798
SG: No. 12
Crystal system: monoclinic
Calculated density (g cm⁻³): 8.096
VASP energy (eV/atom): -6.939

***

No. 2
Here is crystalline CeSm6Tm at its relaxed geometry from Alexandria via LeMat-Bulk. Energies are from PBE.

Lattice parameters (Å, degrees): 8.816 8.056 6.225 75.02 61.97 43.01
Fractional coordinates of all 8 atoms:
Ce: 0.000 0.000 0.000
Sm: 0.122 0.122 0.378
Sm: 0.248 0.248 0.752
Sm: 0.378 0.378 0.122
Sm: 0.622 0.622 0.878
Sm: 0.752 0.752 0.248
Sm: 0.878 0.878 0.622
Tm: 0.500 0.500 0.500

Density of states at the Fermi level (states/eV/atom): 1.822
SG: No. 69
Crystal system: orthorhombic
Calculated density (g cm⁻³): 7.632
VASP energy (eV/atom): -4.793

***

No. 3
Here is crystalline Y6Tl2Cu at its relaxed geometry from Alexandria via LeMat-Bulk. Energies are from PBE.

Lattice parameters (Å, degrees): 6.350 8.449 11.439 90.00 120.80 90.00
Fractional coordinates of all 18 atoms:
Y: 0.073 0.175 0.445
Y: 0.073 0.325 0.945
Y: 0.326 0.683 0.446
Y: 0.326 0.817 0.946
Y: 0.387 0.030 0.268
Y: 0.387 0.470 0.768
Y: 0.613 0.530 0.232
Y: 0.613 0.970 0.732
Y: 0.674 0.183 0.054
Y: 0.674 0.317 0.554
Y: 0.927 0.675 0.055
Y: 0.927 0.825 0.555
Tl: 0.172 0.122 0.751
Tl: 0.172 0.378 0.251
Tl: 0.828 0.622 0.749
Tl: 0.828 0.878 0.249
Cu: 0.000 0.000 0.000
Cu: 0.000 0.500 0.500

Density of states at the Fermi level (states/eV/atom): 1.448
SG: No. 14
Crystal system: monoclinic
Calculated density (g cm⁻³): 6.337
VASP energy (eV/atom): -5.450

***

No. 4
Here is crystalline Y2MgCoSn at its relaxed geometry from Alexandria via LeMat-Bulk. Energies are from PBE.

Lattice parameters (Å, degrees): 5.149 5.149 4.880 90.00 90.00 90.00
Fractional coordinates of all 5 atoms:
Y: 0.000 0.500 0.000
Y: 0.500 0.000 0.000
Mg: 0.000 0.000 0.500
Co: 0.500 0.500 0.000
Sn: 0.500 0.500 0.500

Density of states at the Fermi level (states/eV/atom): 0.949
SG: No. 123
Crystal system: tetragonal
Calculated density (g cm⁻³): 4.874
VASP energy (eV/atom): -5.325

***

No. 5
Here is crystalline PaBiF at its relaxed geometry from Alexandria via LeMat-Bulk. Energies are from PBE.

Lattice parameters (Å, degrees): 4.187 4.187 4.524 90.00 90.00 120.00
Fractional coordinates of all 3 atoms:
Pa: 0.000 0.000 0.000
Bi: 0.667 0.333 0.500
F: 0.333 0.667 0.000

Density of states at the Fermi level (states/eV/atom): 1.282
SG: No. 187
Crystal system: hexagonal
Formation energy (no corrections) (eV per formula unit): -4.8
Calculated density (g cm⁻³): 11.097

***

No. 6
Here is crystalline MgSc5Pt6 at its relaxed geometry from Alexandria via LeMat-Bulk. Energies are from PBE.

Lattice parameters (Å, degrees): 8.043 8.043 4.664 106.44 106.44 47.62
Fractional coordinates of all 12 atoms:
Mg: 0.000 0.000 0.000
Sc: 0.162 0.162 0.663
Sc: 0.334 0.334 0.333
Sc: 0.500 0.500 0.000
Sc: 0.666 0.666 0.667
Sc: 0.838 0.838 0.337
Pt: 0.083 0.577 0.830
Pt: 0.256 0.744 0.500
Pt: 0.423 0.917 0.170
Pt: 0.577 0.083 0.830
Pt: 0.744 0.256 0.500
Pt: 0.917 0.423 0.170

Density of states at the Fermi level (states/eV/atom): 0.368
SG: No. 12
Crystal system: monoclinic
Calculated density (g cm⁻³): 11.123
VASP energy (eV/atom): -6.989

***

calculated density of number 4 (Y2MgCoSn)? 4.874 g cm⁻³

***

The lowest calculated density belongs to which entry? Y2MgCoSn

***

What did the first record say?
Here is crystalline Ce3ScTc at its relaxed geometry from Alexandria via LeMat-Bulk. Energies are from PBE.

Lattice parameters (Å, degrees): 5.950 5.950 12.037 91.99 91.99 32.86
Fractional coordinates of all 10 atoms:
Ce: 0.146 0.146 0.046
Ce: 0.217 0.217 0.767
Ce: 0.349 0.349 0.454
Ce: 0.651 0.651 0.546
Ce: 0.783 0.783 0.233
Ce: 0.854 0.854 0.954
Sc: 0.054 0.054 0.310
Sc: 0.946 0.946 0.690
Tc: 0.460 0.460 0.131
Tc: 0.540 0.540 0.869

Density of states at the Fermi level (states/eV/atom): 1.798
SG: No. 12
Crystal system: monoclinic
Calculated density (g cm⁻³): 8.096
VASP energy (eV/atom): -6.939

***

Which of these has the lowest density of states at the Fermi level? MgSc5Pt6